First-principles (GGA-PBE) data for an optimized crystal structure of BeFe2Ni, as listed in Alexandria.

For the raw total energy, the calculation gives -24.955 eV/f.u. As for the energy relative to the elements: 0.370 eV per atom.

It has space group I-42d (No. 122), with a = 6.2263 Å, b = 6.2263 Å, c = 4.6478 Å, α = 90.00°, β = 90.00° and γ = 90.00°. The distinct sites, in fractional coordinates, are Be at (0.0000, 0.0000, 0.0000), Fe at (0.2328, 0.2500, 0.1250) and Ni at (0.0000, 0.0000, 0.5000).

=====

First-principles (GGA-PBE) data for an optimized crystal structure of Be2FeNi, as listed in Alexandria.

For the raw total energy, the calculation gives -22.555 eV/f.u. As for the energy relative to the elements: -0.215 eV per atom.

It has space group Pm (No. 6), with a = 2.4760 Å, b = 3.5735 Å, c = 4.3554 Å, α = 90.00°, β = 106.27° and γ = 90.00°. The distinct sites, in fractional coordinates, are Be at (0.0000, 0.0000, 0.0000), Be at (0.1431, 0.5000, 0.2925), Fe at (0.7297, 0.0000, 0.4673) and Ni at (0.4156, 0.5000, 0.8309).

=====

First-principles (GGA-PBE) data for an optimized crystal structure of BeFe2Ni2, as listed in Alexandria.

For the raw total energy, the calculation gives -31.197 eV/f.u. As for the energy relative to the elements: 0.203 eV per atom.

It has space group P4/mbm (No. 127), with a = 6.7281 Å, b = 6.7281 Å, c = 2.5947 Å, α = 90.00°, β = 90.00° and γ = 90.00°. The distinct sites, in fractional coordinates, are Be at (0.0000, 0.0000, 0.0000), Fe at (0.1697, 0.3303, 0.5000) and Ni at (0.1284, 0.6284, 0.0000).

=====

First-principles (GGA-PBE) data for an optimized crystal structure of BeFeNi2, as listed in Alexandria.

For the raw total energy, the calculation gives -24.039 eV/f.u. As for the energy relative to the elements: -0.072 eV per atom.

It has space group P2/m (No. 10), with a = 4.1418 Å, b = 2.4997 Å, c = 4.2541 Å, α = 90.00°, β = 108.61° and γ = 90.00°. The distinct sites, in fractional coordinates, are Be at (0.0000, 0.0000, 0.0000), Fe at (0.0000, 0.5000, 0.5000), Ni at (0.5000, 0.0000, 0.5000) and Ni at (0.5000, 0.5000, 0.0000).

=====

First-principles (GGA-PBE) data for an optimized crystal structure of BeFeNi6, as listed in Alexandria.

For the raw total energy, the calculation gives -47.953 eV/f.u. As for the energy relative to the elements: -0.135 eV per atom.

It has space group P4/mmm (No. 123), with a = 3.5036 Å, b = 3.5036 Å, c = 6.9029 Å, α = 90.00°, β = 90.00° and γ = 90.00°. The distinct sites, in fractional coordinates, are Be at (0.0000, 0.0000, 0.0000), Fe at (0.0000, 0.0000, 0.5000), Ni at (0.0000, 0.5000, 0.2422), Ni at (0.5000, 0.5000, 0.0000) and Ni at (0.5000, 0.5000, 0.5000).

=====

First-principles (GGA-PBE) data for an optimized crystal structure of Be2FeNi, as listed in Alexandria.

For the raw total energy, the calculation gives -22.056 eV/f.u. As for the energy relative to the elements: -0.090 eV per atom.

It has space group C2/m (No. 12), with a = 7.4442 Å, b = 2.4211 Å, c = 4.2842 Å, α = 90.00°, β = 100.02° and γ = 90.00°. The distinct sites, in fractional coordinates, are Be at (0.2476, 0.0000, 0.2507), Fe at (0.0000, 0.0000, 0.5000) and Ni at (0.0000, 0.5000, 0.0000).

=====

First-principles (GGA-PBE) data for an optimized crystal structure of BeFe2Ni, as listed in Alexandria.

For the raw total energy, the calculation gives -26.669 eV/f.u. As for the energy relative to the elements: -0.059 eV per atom.

It has space group Cm (No. 8), with a = 8.0525 Å, b = 2.4713 Å, c = 4.3103 Å, α = 90.00°, β = 100.72° and γ = 90.00°. The distinct sites, in fractional coordinates, are Be at (0.0000, 0.0000, 0.0000), Fe at (0.0084, 0.5000, 0.5017), Fe at (0.2459, 0.5000, 0.2358) and Ni at (0.2622, 0.0000, 0.7601).

=====

First-principles (GGA-PBE) data for an optimized crystal structure of Be4FeNi, as listed in Alexandria.

For the raw total energy, the calculation gives -28.997 eV/f.u. As for the energy relative to the elements: 0.025 eV per atom.

It has space group Pmmm (No. 47), with a = 2.2629 Å, b = 3.7099 Å, c = 6.5640 Å, α = 90.00°, β = 90.00° and γ = 90.00°. The distinct sites, in fractional coordinates, are Be at (0.0000, 0.0000, 0.1926), Be at (0.5000, 0.5000, 0.3066), Fe at (0.0000, 0.5000, 0.0000) and Ni at (0.5000, 0.0000, 0.5000).

=====

First-principles (GGA-PBE) data for an optimized crystal structure of Be2FeNi3, as listed in Alexandria.

For the raw total energy, the calculation gives -35.246 eV/f.u. As for the energy relative to the elements: -0.331 eV per atom.

It has space group P4/mmm (No. 123), with a = 2.5527 Å, b = 2.5527 Å, c = 8.9212 Å, α = 90.00°, β = 90.00° and γ = 90.00°. The distinct sites, in fractional coordinates, are Be at (0.0000, 0.0000, 0.1519), Fe at (0.0000, 0.0000, 0.5000), Ni at (0.5000, 0.5000, 0.0000) and Ni at (0.5000, 0.5000, 0.3026).

=====

First-principles (GGA-PBE) data for an optimized crystal structure of BeFe2Ni, as listed in Alexandria.

For the raw total energy, the calculation gives -26.703 eV/f.u. As for the energy relative to the elements: -0.067 eV per atom.

It has space group I4/mmm (No. 139), with a = 3.3612 Å, b = 3.3612 Å, c = 7.3882 Å, α = 90.00°, β = 90.00° and γ = 90.00°. The distinct sites, in fractional coordinates, are Be at (0.0000, 0.0000, 0.0000), Fe at (0.0000, 0.5000, 0.2500) and Ni at (0.0000, 0.0000, 0.5000).

=====

First-principles (GGA-PBE) data for an optimized crystal structure of Be2FeNi, as listed in Alexandria.

For the raw total energy, the calculation gives -22.110 eV/f.u. As for the energy relative to the elements: -0.103 eV per atom.

It has space group F-43m (No. 216), with a = 5.3789 Å, b = 5.3789 Å, c = 5.3789 Å, α = 90.00°, β = 90.00° and γ = 90.00°. The distinct sites, in fractional coordinates, are Be at (0.0000, 0.0000, 0.0000), Be at (0.2500, 0.2500, 0.2500), Fe at (0.0000, 0.0000, 0.5000) and Ni at (0.2500, 0.2500, 0.7500).

=====

First-principles (GGA-PBE) data for an optimized crystal structure of Be4FeNi, as listed in Alexandria.

For the raw total energy, the calculation gives -30.525 eV/f.u. As for the energy relative to the elements: -0.229 eV per atom.

It has space group F-43m (No. 216), with a = 5.9026 Å, b = 5.9026 Å, c = 5.9026 Å, α = 90.00°, β = 90.00° and γ = 90.00°. The distinct sites, in fractional coordinates, are Be at (0.1242, 0.1242, 0.3758), Fe at (0.2500, 0.2500, 0.7500) and Ni at (0.0000, 0.0000, 0.0000).